Record 1
Ba2VSiMo: relaxed, PBE.

Geometry as CIF:
```
data_Ba2VSiMo
_space_group_name_H-M_alt 'P 1'
_space_group_IT_number 1
_cell_length_a 6.269
_cell_length_b 6.269
_cell_length_c 4.734
_cell_angle_alpha 90.00
_cell_angle_beta 90.00
_cell_angle_gamma 90.00
loop_
_space_group_symop_operation_xyz
'x,y,z'
loop_
_atom_site_label
_atom_site_type_symbol
_atom_site_fract_x
_atom_site_fract_y
_atom_site_fract_z
_atom_site_occupancy
Ba1 Ba 0.500 0.000 0.000 1
Ba2 Ba 0.000 0.500 0.000 1
V1 V 0.500 0.500 0.500 1
Si1 Si 0.000 0.000 0.000 1
Mo1 Mo 0.000 0.000 0.500 1
```

Summary:
Space group: No. 123
Formation energy from raw total energies (eV per atom): 1.239

***

Record 2
BaSnMo2: relaxed, PBE.

Geometry as CIF:
```
data_BaSnMo2
_space_group_name_H-M_alt 'P 1'
_space_group_IT_number 1
_cell_length_a 8.241
_cell_length_b 8.241
_cell_length_c 6.565
_cell_angle_alpha 51.12
_cell_angle_beta 51.12
_cell_angle_gamma 90.00
loop_
_space_group_symop_operation_xyz
'x,y,z'
loop_
_atom_site_label
_atom_site_type_symbol
_atom_site_fract_x
_atom_site_fract_y
_atom_site_fract_z
_atom_site_occupancy
Mo1 Mo 0.570 0.125 0.250 1
Ba1 Ba 0.750 0.250 0.500 1
Mo2 Mo 0.375 0.430 0.750 1
Mo3 Mo 0.875 0.820 0.750 1
Ba2 Ba 0.000 0.000 0.000 1
Mo4 Mo 0.180 0.625 0.250 1
Sn1 Sn 0.500 0.500 0.000 1
Sn2 Sn 0.250 0.750 0.500 1
```

Summary:
Space group: No. 122
Formation energy from the elements (eV per atom): 1.3633

***

Record 3
BaSn3Mo: relaxed, PBE.

Geometry as CIF:
```
data_BaSn3Mo
_space_group_name_H-M_alt 'P 1'
_space_group_IT_number 1
_cell_length_a 5.878
_cell_length_b 5.878
_cell_length_c 5.878
_cell_angle_alpha 90.00
_cell_angle_beta 90.00
_cell_angle_gamma 90.00
loop_
_space_group_symop_operation_xyz
'x,y,z'
loop_
_atom_site_label
_atom_site_type_symbol
_atom_site_fract_x
_atom_site_fract_y
_atom_site_fract_z
_atom_site_occupancy
Sn1 Sn 0.000 0.000 0.500 1
Ba1 Ba 0.000 0.000 0.000 1
Mo1 Mo 0.500 0.500 0.500 1
Sn2 Sn 0.000 0.500 0.000 1
Sn3 Sn 0.500 0.000 0.000 1
```

Summary:
Space group: No. 221
Energy above the most stable polymorph in this dataset (kJ per mole of atoms): 223.0
Formation energy from the elements (eV per atom): 2.1967

***

What is the formula in the first record?
Ba2VSiMo